Cu5Ag3: relaxed, GGA-PBE.

Geometry as POSCAR:
```
Cu5Ag3
1.0
3.655 0.000 0.000
0.000 5.549 0.000
0.000 0.000 5.589
Cu Ag
5 3
Direct
0.500 0.000 0.521
0.500 0.000 0.974
0.000 0.237 0.757
0.500 0.500 0.987
0.000 0.763 0.757
0.000 0.245 0.240
0.500 0.500 0.522
0.000 0.755 0.240
```

## Properties
Total DFT energy (no corrections) = -3.2915 eV/atom
Energy of formation = 2.09 kcal/mol of atoms


CuAg2: relaxed, GGA-PBE.

Geometry as POSCAR:
```
CuAg2
1.0
-5.616 -0.267 -4.854
-6.941 -1.040 -2.433
-1.280 6.602 1.409
Cu Ag
3 6
Direct
0.999 0.999 0.004
0.772 0.772 0.668
0.117 0.117 0.662
0.889 0.889 0.339
0.333 0.333 0.989
0.556 0.556 0.332
0.659 0.659 0.983
0.223 0.223 0.343
0.453 0.453 0.681
```

## Properties
Total DFT energy (no corrections) = -3.0391 eV/atom
Energy of formation = 1.91 kcal/mol of atoms


CuAg: relaxed, GGA-PBE.

Geometry as POSCAR:
```
CuAg
1.0
-4.570 -4.616 -1.913
1.651 -0.758 -2.113
4.826 -3.939 5.183
Ag Cu
5 5
Direct
0.105 0.000 0.284
0.290 0.000 0.918
0.197 0.500 0.596
0.605 0.500 0.787
0.700 0.000 0.113
0.900 0.000 0.694
0.414 0.500 0.219
0.511 0.000 0.488
0.984 0.500 0.984
0.795 0.500 0.417
```

## Properties
Total DFT energy (no corrections) = -3.1825 eV/atom
Energy of formation = 2.03 kcal/mol of atoms


Cu5Ag3: relaxed, GGA-PBE.

Geometry as POSCAR:
```
Cu5Ag3
1.0
3.910 0.000 0.000
0.000 3.910 0.000
0.000 0.000 7.387
Cu Ag
5 3
Direct
0.000 0.500 0.763
0.500 0.500 0.977
0.000 0.000 0.528
0.000 0.000 0.976
0.500 0.000 0.763
0.500 0.500 0.520
0.500 0.000 0.237
0.000 0.500 0.237
```

## Properties
Total DFT energy (no corrections) = -3.3059 eV/atom
Energy of formation = 1.76 kcal/mol of atoms


Cu2Ag7: relaxed, GGA-PBE.

Geometry as POSCAR:
```
Cu2Ag7
1.0
-4.616 5.790 1.279
-6.314 4.061 -0.331
-2.144 -3.307 5.810
Ag Cu
7 2
Direct
0.775 0.775 0.167
0.665 0.665 0.488
0.000 0.000 0.500
0.225 0.225 0.833
0.554 0.554 0.842
0.446 0.446 0.158
0.335 0.335 0.512
0.889 0.889 0.836
0.111 0.111 0.164
```

## Properties
Total DFT energy (no corrections) = -2.9601 eV/atom
Energy of formation = 1.44 kcal/mol of atoms


Cu3Ag2: relaxed, GGA-PBE.

Geometry as POSCAR:
```
Cu3Ag2
1.0
7.153 -1.829 0.000
7.153 1.829 0.000
-1.068 0.000 5.483
Ag Cu
4 6
Direct
0.113 0.113 0.056
0.887 0.887 0.944
0.499 0.499 0.740
0.501 0.501 0.260
0.112 0.112 0.554
0.888 0.888 0.446
0.299 0.299 0.169
0.707 0.707 0.366
0.293 0.293 0.634
0.701 0.701 0.831
```

## Properties
Total DFT energy (no corrections) = -3.2740 eV/atom
Energy of formation = 1.98 kcal/mol of atoms


Cu4Ag5: relaxed, GGA-PBE.

Geometry as POSCAR:
```
Cu4Ag5
1.0
5.710 -1.423 0.000
5.710 1.423 0.000
-2.188 0.000 8.463
Ag Cu
5 4
Direct
0.988 0.988 0.177
0.000 0.000 0.500
0.674 0.674 0.078
0.326 0.326 0.922
0.012 0.012 0.823
0.326 0.326 0.601
0.326 0.326 0.302
0.674 0.674 0.399
0.674 0.674 0.698
```

## Properties
Total DFT energy (no corrections) = -3.1409 eV/atom
Energy of formation = 1.85 kcal/mol of atoms


CuAg: relaxed, GGA-PBE.

Geometry as POSCAR:
```
CuAg
1.0
7.399 -13.852 8.388
9.092 -11.956 9.560
6.628 -12.554 10.745
Ag Cu
4 4
Direct
0.570 0.570 0.570
0.810 0.810 0.810
0.430 0.430 0.430
0.190 0.190 0.190
0.685 0.685 0.685
0.945 0.945 0.945
0.055 0.055 0.055
0.315 0.315 0.315
```

## Properties
Total DFT energy (no corrections) = -3.1831 eV/atom
Energy of formation = 2.02 kcal/mol of atoms


CuAg: relaxed, GGA-PBE.

Geometry as POSCAR:
```
CuAg
1.0
-1.962 8.680 3.297
-2.722 7.172 5.586
5.467 -0.388 1.561
Cu Ag
5 5
Direct
0.995 0.995 0.969
0.401 0.401 0.709
0.993 0.993 0.523
0.804 0.804 0.902
0.205 0.205 0.095
0.203 0.203 0.609
0.598 0.598 0.808
0.804 0.804 0.398
0.590 0.590 0.295
0.408 0.408 0.192
```

## Properties
Total DFT energy (no corrections) = -3.1736 eV/atom
Energy of formation = 2.24 kcal/mol of atoms


Cu3Ag2: relaxed, GGA-PBE.

Geometry as POSCAR:
```
Cu3Ag2
1.0
6.634 0.000 0.000
0.000 2.761 0.000
-1.982 0.000 7.821
Cu Ag
6 4
Direct
0.055 0.250 0.136
0.863 0.250 0.554
0.347 0.750 0.045
0.945 0.750 0.864
0.653 0.250 0.955
0.137 0.750 0.446
0.433 0.250 0.343
0.761 0.750 0.247
0.567 0.750 0.657
0.239 0.250 0.753
```

## Properties
Total DFT energy (no corrections) = -3.2603 eV/atom
Energy of formation = 2.30 kcal/mol of atoms


Cu3Ag7: relaxed, GGA-PBE.

Geometry as POSCAR:
```
Cu3Ag7
1.0
-4.263 -9.956 4.282
-1.775 -11.032 3.280
2.249 1.338 4.148
Cu Ag
3 7
Direct
0.902 0.902 0.298
0.594 0.594 0.194
0.003 0.003 0.008
0.407 0.407 0.813
0.497 0.497 0.478
0.096 0.096 0.708
0.305 0.305 0.106
0.802 0.802 0.598
0.699 0.699 0.903
0.194 0.194 0.394
```

## Properties
Total DFT energy (no corrections) = -3.0161 eV/atom
Energy of formation = 1.75 kcal/mol of atoms


CuAg: relaxed, GGA-PBE.

Geometry as POSCAR:
```
CuAg
1.0
5.741 -1.417 0.000
5.741 1.417 0.000
-1.521 0.000 9.170
Ag Cu
5 5
Direct
0.590 0.590 0.796
0.693 0.693 0.109
0.410 0.410 0.204
0.307 0.307 0.891
0.500 0.500 0.500
0.207 0.207 0.594
0.112 0.112 0.317
0.793 0.793 0.406
0.000 0.000 0.000
0.888 0.888 0.683
```

## Properties
Total DFT energy (no corrections) = -3.1854 eV/atom
Energy of formation = 1.97 kcal/mol of atoms